[1]
Material: CrSbPt2
Method: DFT, PBE-GGA
State: relaxed

Values from the calculation:
The uncorrected formation energy comes out at -138 meV per atom. The calculation puts the size of the total moment at 1.005 μB/atom. The crystal system is tetragonal. As for the final energy: -6.59 eV/atom.

Structure (CIF):
```
data_CrSbPt2
_symmetry_space_group_name_H-M 'P 1'
_symmetry_Int_Tables_number 1
_symmetry_space_group_name_Hall 'P 1'
_cell_length_a 5.092
_cell_length_b 5.092
_cell_length_c 5.092
_cell_angle_alpha 133.63
_cell_angle_beta 133.72
_cell_angle_gamma 67.60
loop_
_atom_site_label
_atom_site_type_symbol
_atom_site_fract_x
_atom_site_fract_y
_atom_site_fract_z
_atom_site_occupancy
Sb1 Sb 0.500 0.500 0.000 1
Pt1 Pt 0.750 0.250 0.500 1
Pt2 Pt 0.000 0.000 0.000 1
Cr1 Cr 0.250 0.750 0.500 1
```

***

[2]
Material: CrSbPt
Method: DFT, PBE-GGA
State: relaxed

Values from the calculation:
The uncorrected formation energy comes out at -9 meV per atom. The calculation puts the size of the total moment at 1.242 μB/atom. The crystal system is hexagonal. As for the final energy: -6.60 eV/atom.

Structure (CIF):
```
data_CrSbPt
_symmetry_space_group_name_H-M 'P 1'
_symmetry_Int_Tables_number 1
_symmetry_space_group_name_Hall 'P 1'
_cell_length_a 4.495
_cell_length_b 4.495
_cell_length_c 3.181
_cell_angle_alpha 90.00
_cell_angle_beta 90.00
_cell_angle_gamma 120.00
loop_
_atom_site_label
_atom_site_type_symbol
_atom_site_fract_x
_atom_site_fract_y
_atom_site_fract_z
_atom_site_occupancy
Pt1 Pt 0.333 0.667 0.500 1
Cr1 Cr 0.000 0.000 0.000 1
Sb1 Sb 0.667 0.333 0.500 1
```

***

[3]
Material: Cr2SbPt9
Method: DFT, PBE-GGA
State: relaxed

Values from the calculation:
The uncorrected formation energy comes out at -242 meV per atom. The calculation puts the size of the total moment at 0.491 μB/atom. The crystal system is tetragonal. As for the final energy: -6.72 eV/atom.

Structure (CIF):
```
data_Cr2SbPt9
_symmetry_space_group_name_H-M 'P 1'
_symmetry_Int_Tables_number 1
_symmetry_space_group_name_Hall 'P 1'
_cell_length_a 3.963
_cell_length_b 3.963
_cell_length_c 12.000
_cell_angle_alpha 90.00
_cell_angle_beta 90.00
_cell_angle_gamma 90.00
loop_
_atom_site_label
_atom_site_type_symbol
_atom_site_fract_x
_atom_site_fract_y
_atom_site_fract_z
_atom_site_occupancy
Sb1 Sb 0.000 0.000 0.000 1
Pt1 Pt 0.500 0.000 0.822 1
Pt2 Pt 0.500 0.500 0.000 1
Pt3 Pt 0.000 0.500 0.822 1
Pt4 Pt 0.000 0.500 0.500 1
Pt5 Pt 0.500 0.000 0.178 1
Pt6 Pt 0.500 0.500 0.338 1
Pt7 Pt 0.500 0.000 0.500 1
Pt8 Pt 0.500 0.500 0.662 1
Pt9 Pt 0.000 0.500 0.178 1
Cr1 Cr 0.000 0.000 0.658 1
Cr2 Cr 0.000 0.000 0.342 1
```